Li2MnO2F | PBE with a Hubbard U | relaxed

## Properties
The value obtained for the size of the total moment is 12.00 μB/cell. As for the offset from the most stable computed form: 0.949 eV/f.u.

abc: 5.093 5.093 9.757
angles: 94.17 94.17 118.64
Sites, in units of the cell vectors:
Li1 0.000 0.500 0.500
Li2 0.071 0.929 0.750
Li3 0.192 0.316 0.002
Li4 0.316 0.192 0.502
Li5 0.500 0.000 0.000
Li6 0.684 0.808 0.498
Li7 0.808 0.684 0.998
Li8 0.929 0.071 0.250
Mn1 0.253 0.747 0.250
Mn2 0.424 0.576 0.750
Mn3 0.576 0.424 0.250
Mn4 0.747 0.253 0.750
O1 0.057 0.246 0.642
O2 0.246 0.057 0.142
O3 0.304 0.475 0.365
O4 0.475 0.304 0.865
O5 0.525 0.696 0.135
O6 0.696 0.525 0.635
O7 0.754 0.943 0.858
O8 0.943 0.754 0.358
F1 0.144 0.638 0.880
F2 0.362 0.856 0.620
F3 0.638 0.144 0.380
F4 0.856 0.362 0.120